Compound: Rb3Hg6Au2
Source: the Alexandria database
Functional: PBE
Structure: relaxed

Lattice parameters (Å, degrees): 5.1057 5.1057 14.6784 100.02 100.02 90.00
Fractional coordinates of all 11 atoms:
Rb: 0.8020 0.8020 0.6040
Hg: 0.8997 0.3997 0.7994
Hg: 0.1003 0.6003 0.2006
Rb: 0.0000 0.0000 0.0000
Hg: 0.6689 0.6689 0.3379
Hg: 0.6003 0.1003 0.2006
Hg: 0.3311 0.3311 0.6621
Rb: 0.1980 0.1980 0.3960
Au: 0.5477 0.5477 0.0954
Au: 0.4523 0.4523 0.9046
Hg: 0.3997 0.8997 0.7994

Computed properties:
The total DFT energy (no corrections) comes out at -1.2262 eV per atom. The space-group type is I4/mmm, No. 139. For the spin magnetization, the calculation gives 0.00 Bohr magnetons per cell. The volume comes out at 33.72 A^3/atom. As for the energy relative to the elements: -0.20 eV/atom.